VASP calculation (PBE with a Hubbard U) on LiNpMn2O8 after structural relaxation.

Cell and atoms, written as POSCAR:
```
LiNpMn2O8
1.0
-1.631 2.288 5.151
5.136 -2.838 0.002
0.585 4.504 -3.715
Mn O Np Li
2 8 1 1
direct
0.750 0.250 0.500
0.500 0.500 0.000
0.882 0.706 0.176
0.917 0.225 0.308
0.775 0.083 0.692
0.530 0.706 0.824
0.294 0.470 0.176
0.294 0.118 0.824
0.917 0.609 0.692
0.391 0.083 0.308
0.000 0.000 0.000
0.250 0.750 0.500
```

Values from the calculation:
The total DFT energy (no corrections) is -87.49 eV per cell. Its space group is I-4m2, No. 119.